[1]
VASP calculation (PBEsol) on crystalline BeFePt at its relaxed geometry.

Cell: 2.6530 2.6530 5.8263 Å, 90.00 90.00 120.00°
Space group P3m1 (No. 156)
Asymmetric unit:
Be (0.0000, 0.0000, 0.0000) x1
Fe (0.3333, 0.6667, 0.6922) x1
Pt (0.6667, 0.3333, 0.3181) x1

Output
- magnetization (μB/cell) = 2.40
- energy above the lowest structure with this stoichiometry (meV/atom) = 153
- formation enthalpy at 0 K (eV/atom) = -0.09
- calculated total energy (eV/atom) = -6.732

***

[2]
VASP calculation (PBEsol) on crystalline Be4FePt at its relaxed geometry.

Cell: 6.040 6.040 6.040 Å, 90.00 90.00 90.00°
Space group F-43m (No. 216)
Asymmetric unit:
Be (0.123, 0.123, 0.377) x16
Fe (0.250, 0.250, 0.750) x4
Pt (0.000, 0.000, 0.000) x4

Output
- magnetization (μB/cell) = 10.06
- formation enthalpy at 0 K (eV/atom) = -0.37
- calculated total energy (eV/atom) = -5.687

***

[3]
VASP calculation (PBEsol) on crystalline BeFePt at its relaxed geometry.

Cell: 3.9469 3.9469 2.6425 Å, 90.00 90.00 120.00°
Space group P-6m2 (No. 187)
Asymmetric unit:
Be (0.0000, 0.0000, 0.0000) x1
Fe (0.3333, 0.6667, 0.5000) x1
Pt (0.6667, 0.3333, 0.0000) x1

Output
- magnetization (μB/cell) = 2.82
- energy above the lowest structure with this stoichiometry (meV/atom) = 0
- formation enthalpy at 0 K (eV/atom) = -0.24
- calculated total energy (eV/atom) = -6.885

***

[4]
VASP calculation (PBEsol) on crystalline BeFePt2 at its relaxed geometry.

Cell: 2.7265 2.7265 23.6748 Å, 90.00 90.00 120.00°
Space group R-3m (No. 166, hexagonal axes)
Asymmetric unit:
Be (0.0000, 0.0000, 0.0000) x3
Fe (0.0000, 0.0000, 0.5000) x3
Pt (0.0000, 0.0000, 0.2573) x6

Output
- magnetization (μB/cell) = 9.08
- formation enthalpy at 0 K (eV/atom) = -0.27
- calculated total energy (eV/atom) = -6.988

***

[5]
VASP calculation (PBEsol) on crystalline BeFeRe at its relaxed geometry.

Cell: 5.318 5.318 5.318 Å, 90.00 90.00 90.00°
Space group F-43m (No. 216)
Asymmetric unit:
Be (0.000, 0.000, 0.000) x4
Fe (0.250, 0.250, 0.750) x4
Re (0.000, 0.000, 0.500) x4

Output
- magnetization (μB/cell) = 1.77
- energy above the lowest structure with this stoichiometry (meV/atom) = 446
- formation enthalpy at 0 K (eV/atom) = 0.29
- calculated total energy (eV/atom) = -8.477

***

[6]
VASP calculation (PBEsol) on crystalline Be2FeRe2 at its relaxed geometry.

Cell: 5.816 5.816 3.151 Å, 90.00 90.00 90.00°
Space group P4/mbm (No. 127)
Asymmetric unit:
Be (0.122, 0.378, 0.000) x4
Fe (0.000, 0.000, 0.000) x2
Re (0.177, 0.677, 0.500) x4

Output
- magnetization (μB/cell) = 4.02
- formation enthalpy at 0 K (eV/atom) = -0.14
- calculated total energy (eV/atom) = -8.870

***

[7]
VASP calculation (PBEsol) on crystalline BeFe3Re at its relaxed geometry.

Cell: 4.375 4.375 4.375 Å, 90.00 90.00 90.00°
Space group Pm-3m (No. 221)
Asymmetric unit:
Be (0.000, 0.000, 0.000) x1
Fe (0.000, 0.500, 0.500) x3
Re (0.500, 0.500, 0.500) x1

Output
- magnetization (μB/cell) = 4.14
- formation enthalpy at 0 K (eV/atom) = 1.86
- calculated total energy (eV/atom) = -6.983

***

[8]
VASP calculation (PBEsol) on crystalline BeFeRe at its relaxed geometry.

Cell: 2.713 2.713 8.678 Å, 90.00 90.00 90.00°
Space group I4mm (No. 107)
Asymmetric unit:
Be (0.000, 0.000, 0.000) x2
Fe (0.000, 0.000, 0.363) x2
Re (0.000, 0.000, 0.682) x2

Output
- magnetization (μB/cell) = 0.00
- energy above the lowest structure with this stoichiometry (meV/atom) = 0
- formation enthalpy at 0 K (eV/atom) = -0.16
- calculated total energy (eV/atom) = -8.923